# 1
Density functional theory data (GGA-PBE) for crystalline Y2ScB at its relaxed geometry.

Summary:
formation enthalpy at 0 K: 279 meV per atom
DOS(E_F): 3.4 states/eV/cell
SG: I-42d

Unit cell a=8.183 b=8.183 c=6.440 alpha=50.56 beta=50.56 gamma=90.00
Atoms (fractional coordinates):
Y (0.537, 0.125, 0.250)
Y (0.213, 0.625, 0.250)
Y (0.375, 0.463, 0.750)
Y (0.875, 0.787, 0.750)
Sc (0.000, 0.000, 0.000)
Sc (0.750, 0.250, 0.500)
B (0.500, 0.500, 0.000)
B (0.250, 0.750, 0.500)



# 2
Density functional theory data (GGA-PBE) for crystalline Y2BeSnN at its relaxed geometry.

Summary:
DOS(E_F): 1.7 states/eV/cell
E_form (uncorrected): -0.77 eV per atom
SG: P4/mmm

Unit cell a=5.221 b=5.221 c=3.386 alpha=90.00 beta=90.00 gamma=90.00
Atoms (fractional coordinates):
Y (0.000, 0.500, 0.000)
Y (0.500, 0.000, 0.000)
Be (0.000, 0.000, 0.500)
Sn (0.500, 0.500, 0.500)
N (0.000, 0.000, 0.000)



# 3
Density functional theory data (GGA-PBE) for crystalline Ac12Ir3Ru5 at its relaxed geometry.

Summary:
formation enthalpy at 0 K: -58 meV per atom
DOS(E_F): 52.7 states/eV/cell
SG: Ia-3d

Unit cell a=15.066 b=15.066 c=15.066 alpha=109.47 beta=109.47 gamma=109.47
Atoms (fractional coordinates):
Ir (0.750, 0.375, 0.125)
Ir (0.875, 0.750, 0.125)
Ir (0.375, 0.750, 0.625)
Ir (0.250, 0.125, 0.375)
Ir (0.875, 0.125, 0.250)
Ir (0.375, 0.625, 0.250)
Ir (0.625, 0.375, 0.750)
Ir (0.125, 0.875, 0.750)
Ir (0.750, 0.875, 0.625)
Ir (0.625, 0.250, 0.375)
Ir (0.125, 0.250, 0.875)
Ir (0.250, 0.625, 0.875)
Ru (0.125, 0.375, 0.250)
Ru (0.000, 0.500, 0.000)
Ru (0.000, 0.000, 0.000)
Ru (0.375, 0.250, 0.125)
Ru (0.500, 0.000, 0.500)
Ru (0.500, 0.500, 0.000)
Ru (0.125, 0.750, 0.375)
Ru (0.750, 0.125, 0.875)
Ru (0.750, 0.625, 0.375)
Ru (0.375, 0.125, 0.750)
Ru (0.625, 0.875, 0.250)
Ru (0.500, 0.500, 0.500)
Ru (0.500, 0.000, 0.000)
Ru (0.000, 0.000, 0.500)
Ru (0.250, 0.375, 0.625)
Ru (0.250, 0.875, 0.125)
Ru (0.000, 0.500, 0.500)
Ru (0.875, 0.250, 0.625)
Ru (0.625, 0.750, 0.875)
Ru (0.875, 0.625, 0.750)
Ac (0.717, 0.128, 0.039)
Ac (0.321, 0.539, 0.411)
Ac (0.961, 0.372, 0.283)
Ac (0.539, 0.217, 0.128)
Ac (0.590, 0.717, 0.679)
Ac (0.961, 0.589, 0.179)
Ac (0.321, 0.783, 0.410)
Ac (0.089, 0.910, 0.128)
Ac (0.589, 0.961, 0.679)
Ac (0.717, 0.590, 0.179)
Ac (0.783, 0.461, 0.372)
Ac (0.821, 0.911, 0.039)
Ac (0.128, 0.717, 0.539)
Ac (0.372, 0.411, 0.090)
Ac (0.090, 0.911, 0.372)
Ac (0.410, 0.128, 0.589)
Ac (0.090, 0.179, 0.217)
Ac (0.461, 0.679, 0.089)
Ac (0.821, 0.910, 0.283)
Ac (0.128, 0.410, 0.089)
Ac (0.372, 0.961, 0.783)
Ac (0.589, 0.628, 0.410)
Ac (0.911, 0.821, 0.539)
Ac (0.783, 0.321, 0.910)
Ac (0.411, 0.372, 0.590)
Ac (0.089, 0.179, 0.461)
Ac (0.217, 0.679, 0.090)
Ac (0.179, 0.090, 0.717)
Ac (0.628, 0.039, 0.217)
Ac (0.872, 0.590, 0.911)
Ac (0.539, 0.321, 0.911)
Ac (0.590, 0.872, 0.411)
Ac (0.910, 0.821, 0.783)
Ac (0.910, 0.089, 0.628)
Ac (0.872, 0.283, 0.461)
Ac (0.179, 0.089, 0.961)
Ac (0.628, 0.589, 0.910)
Ac (0.411, 0.039, 0.321)
Ac (0.283, 0.410, 0.821)
Ac (0.217, 0.539, 0.628)
Ac (0.911, 0.090, 0.872)
Ac (0.679, 0.217, 0.590)
Ac (0.461, 0.783, 0.872)
Ac (0.039, 0.411, 0.821)
Ac (0.410, 0.283, 0.321)
Ac (0.039, 0.628, 0.717)
Ac (0.679, 0.461, 0.589)
Ac (0.283, 0.872, 0.961)



# 4
Density functional theory data (GGA-PBE) for crystalline LiZr3O at its relaxed geometry.

Summary:
DOS(E_F): 3.3 states/eV/cell
E_form (uncorrected): -0.90 eV per atom
SG: Pm-3m

Unit cell a=4.484 b=4.484 c=4.484 alpha=90.00 beta=90.00 gamma=90.00
Atoms (fractional coordinates):
O (0.000, 0.000, 0.000)
Zr (0.000, 0.500, 0.000)
Zr (0.000, 0.000, 0.500)
Zr (0.500, 0.000, 0.000)
Li (0.500, 0.500, 0.500)



# 5
Density functional theory data (GGA-PBE) for crystalline Cs4Dy3NpTe8 at its relaxed geometry.

Summary:
DOS(E_F): 8.3 states/eV/cell
E_form (uncorrected): -1.25 eV per atom
SG: R-3m

Unit cell a=9.158 b=10.367 c=9.156 alpha=116.22 beta=120.01 gamma=90.00
Atoms (fractional coordinates):
Cs (0.500, 0.000, 0.000)
Cs (0.500, 0.000, 0.500)
Cs (0.000, 0.000, 0.000)
Cs (0.000, 0.000, 0.500)
Dy (0.500, 0.500, 0.000)
Dy (0.500, 0.500, 0.500)
Dy (0.000, 0.500, 0.500)
Np (0.000, 0.500, 0.000)
Te (0.232, 0.690, 0.958)
Te (0.232, 0.690, 0.464)
Te (0.270, 0.311, 0.540)
Te (0.726, 0.690, 0.958)
Te (0.274, 0.310, 0.042)
Te (0.730, 0.689, 0.460)
Te (0.768, 0.310, 0.536)
Te (0.768, 0.310, 0.042)



# 6
Density functional theory data (GGA-PBE) for crystalline Tb3US6Cl2 at its relaxed geometry.

Summary:
DOS(E_F): 1.8 states/eV/cell
E_form (uncorrected): -1.79 eV per atom
SG: C2/m

Unit cell a=6.053 b=7.858 c=7.894 alpha=119.85 beta=88.23 gamma=90.00
Atoms (fractional coordinates):
Tb (0.000, 0.500, 0.000)
Tb (0.500, 0.500, 0.500)
Tb (0.500, 0.000, 0.500)
U (0.500, 0.000, 0.000)
S (0.738, 0.322, 0.156)
S (0.262, 0.678, 0.844)
S (0.730, 0.834, 0.668)
S (0.270, 0.166, 0.332)
S (0.262, 0.166, 0.844)
S (0.738, 0.834, 0.156)
Cl (0.234, 0.673, 0.346)
Cl (0.766, 0.327, 0.654)



# 7
Density functional theory data (GGA-PBE) for crystalline CrRhSe2 at its relaxed geometry.

Summary:
DOS(E_F): 5.2 states/eV/cell
E_form (uncorrected): 0.09 eV per atom
SG: P4/mmm

Unit cell a=3.090 b=3.090 c=6.255 alpha=90.00 beta=90.00 gamma=90.03
Atoms (fractional coordinates):
Cr (0.500, 0.500, 0.250)
Rh (0.500, 0.500, 0.750)
Se (0.000, 0.000, 0.017)
Se (0.000, 0.000, 0.483)



# 8
Density functional theory data (GGA-PBE) for crystalline ErNbPd6 at its relaxed geometry.

Summary:
formation enthalpy at 0 K: -665 meV per atom
DOS(E_F): 2.7 states/eV/cell
SG: P4/mmm

Unit cell a=4.029 b=4.029 c=8.105 alpha=90.00 beta=90.00 gamma=90.00
Atoms (fractional coordinates):
Er (0.000, 0.000, 0.000)
Nb (0.000, 0.000, 0.500)
Pd (0.500, 0.500, 0.000)
Pd (0.500, 0.500, 0.500)
Pd (0.500, 0.000, 0.263)
Pd (0.500, 0.000, 0.737)
Pd (0.000, 0.500, 0.263)
Pd (0.000, 0.500, 0.737)



# 9
Density functional theory data (GGA-PBE) for crystalline BaTcClO4 at its relaxed geometry.

Summary:
DOS(E_F): 0.0 states/eV/cell
E_form (uncorrected): -1.93 eV per atom
SG: C2/m

Unit cell a=6.960 b=6.960 c=7.633 alpha=78.70 beta=78.70 gamma=73.47
Atoms (fractional coordinates):
Ba (0.212, 0.212, 0.865)
Ba (0.788, 0.788, 0.135)
Tc (0.634, 0.634, 0.743)
Tc (0.366, 0.366, 0.257)
Cl (0.032, 0.032, 0.232)
Cl (0.968, 0.968, 0.768)
O (0.298, 0.298, 0.487)
O (0.702, 0.702, 0.513)
O (0.152, 0.490, 0.152)
O (0.525, 0.525, 0.224)
O (0.510, 0.848, 0.848)
O (0.490, 0.152, 0.152)
O (0.475, 0.475, 0.776)
O (0.848, 0.510, 0.848)



# 10
Density functional theory data (GGA-PBE) for crystalline Tb2LuPa at its relaxed geometry.

Summary:
formation enthalpy at 0 K: 135 meV per atom
DOS(E_F): 6.0 states/eV/cell
SG: P4/mmm

Unit cell a=3.404 b=3.404 c=10.124 alpha=90.00 beta=90.00 gamma=90.00
Atoms (fractional coordinates):
Pa (0.500, 0.500, 0.000)
Tb (0.000, 0.000, 0.764)
Tb (0.000, 0.000, 0.236)
Lu (0.500, 0.500, 0.500)



# 11
Density functional theory data (GGA-PBE) for crystalline Dy7Sc5 at its relaxed geometry.

Summary:
formation enthalpy at 0 K: 51 meV per atom
DOS(E_F): 19.2 states/eV/cell
SG: Cm

Unit cell a=4.840 b=7.649 c=10.288 alpha=72.72 beta=76.40 gamma=71.56
Atoms (fractional coordinates):
Dy (0.999, 0.006, 0.997)
Dy (0.415, 0.924, 0.246)
Dy (0.832, 0.834, 0.502)
Dy (0.249, 0.746, 0.756)
Dy (0.090, 0.578, 0.242)
Dy (0.501, 0.495, 0.503)
Dy (0.164, 0.166, 0.505)
Sc (0.671, 0.661, 0.997)
Sc (0.916, 0.413, 0.755)
Sc (0.333, 0.337, 0.996)
Sc (0.751, 0.254, 0.243)
Sc (0.578, 0.087, 0.757)



# 12
Density functional theory data (GGA-PBE) for crystalline Pu2ReSi at its relaxed geometry.

Summary:
DOS(E_F): 6.4 states/eV/cell
E_form (uncorrected): 0.17 eV per atom
SG: P4/mmm

Unit cell a=5.084 b=3.531 c=3.531 alpha=90.00 beta=90.00 gamma=90.00
Atoms (fractional coordinates):
Re (0.500, 0.000, 0.000)
Si (0.500, 0.500, 0.500)
Pu (0.000, 0.000, 0.500)
Pu (0.000, 0.500, 0.000)



# 13
Density functional theory data (GGA-PBE) for crystalline YbSnHg at its relaxed geometry.

Summary:
formation enthalpy at 0 K: -573 meV per atom
DOS(E_F): 0.4 states/eV/cell
SG: P6_3mc

Unit cell a=4.853 b=4.853 c=7.710 alpha=90.00 beta=90.00 gamma=120.00
Atoms (fractional coordinates):
Yb (0.000, 0.000, 0.251)
Yb (0.000, 0.000, 0.751)
Hg (0.333, 0.667, 0.436)
Hg (0.667, 0.333, 0.936)
Sn (0.333, 0.667, 0.037)
Sn (0.667, 0.333, 0.537)



# 14
Density functional theory data (GGA-PBE) for crystalline Ba2LaTaCo at its relaxed geometry.

Summary:
formation enthalpy at 0 K: 802 meV per atom
DOS(E_F): 6.5 states/eV/cell
SG: P4/mmm

Unit cell a=6.078 b=4.710 c=6.078 alpha=90.00 beta=90.00 gamma=90.00
Atoms (fractional coordinates):
La (0.500, 0.500, 0.500)
Co (0.000, 0.000, 0.000)
Ba (0.000, 0.000, 0.500)
Ba (0.500, 0.000, 0.000)
Ta (0.000, 0.500, 0.000)



# 15
Density functional theory data (GGA-PBE) for crystalline SiPb3Au at its relaxed geometry.

Summary:
DOS(E_F): 3.8 states/eV/cell
E_form (uncorrected): 0.60 eV per atom
SG: Pm-3m

Unit cell a=5.367 b=5.367 c=5.367 alpha=90.00 beta=90.00 gamma=90.00
Atoms (fractional coordinates):
Pb (0.000, 0.500, 0.000)
Pb (0.000, 0.000, 0.500)
Pb (0.500, 0.000, 0.000)
Si (0.000, 0.000, 0.000)
Au (0.500, 0.500, 0.500)



# 16
Density functional theory data (GGA-PBE) for crystalline Ba2In3Ga4Ge at its relaxed geometry.

Summary:
formation enthalpy at 0 K: -357 meV per atom
DOS(E_F): 3.8 states/eV/cell
SG: P-4m2

Unit cell a=4.902 b=4.902 c=11.054 alpha=90.00 beta=90.00 gamma=90.00
Atoms (fractional coordinates):
Ba (0.500, 0.000, 0.252)
Ba (0.000, 0.500, 0.748)
In (0.000, 0.000, 0.500)
In (0.500, 0.000, 0.871)
In (0.000, 0.500, 0.129)
Ga (0.500, 0.500, 0.000)
Ga (0.000, 0.000, 0.000)
Ga (0.500, 0.000, 0.621)
Ga (0.000, 0.500, 0.379)
Ge (0.500, 0.500, 0.500)



# 17
Density functional theory data (GGA-PBE) for crystalline K2TcRu at its relaxed geometry.

Summary:
formation enthalpy at 0 K: 782 meV per atom
DOS(E_F): 3.9 states/eV/cell
SG: C2/m

Unit cell a=10.473 b=10.473 c=3.540 alpha=80.52 beta=80.52 gamma=19.02
Atoms (fractional coordinates):
K (0.103, 0.103, 0.889)
K (0.397, 0.397, 0.611)
Ru (0.750, 0.750, 0.750)
Tc (0.250, 0.250, 0.250)



# 18
Density functional theory data (GGA-PBE) for crystalline MnPb3Cl at its relaxed geometry.

Summary:
DOS(E_F): 0.0 states/eV/cell
E_form (uncorrected): -0.09 eV per atom
SG: Pm-3m

Unit cell a=5.118 b=5.118 c=5.118 alpha=90.00 beta=90.00 gamma=90.00
Atoms (fractional coordinates):
Pb (0.000, 0.500, 0.000)
Pb (0.000, 0.000, 0.500)
Pb (0.500, 0.000, 0.000)
Mn (0.000, 0.000, 0.000)
Cl (0.500, 0.500, 0.500)



# 19
Density functional theory data (GGA-PBE) for crystalline Ta2Ge2Pt at its relaxed geometry.

Summary:
formation enthalpy at 0 K: 9 meV per atom
DOS(E_F): 6.0 states/eV/cell
SG: I4/mmm

Unit cell a=3.521 b=3.521 c=7.614 alpha=76.63 beta=76.63 gamma=90.00
Atoms (fractional coordinates):
Ge (0.750, 0.250, 0.500)
Ge (0.250, 0.750, 0.500)
Pt (0.000, 0.000, 0.000)
Ta (0.398, 0.398, 0.204)
Ta (0.602, 0.602, 0.796)



# 20
Density functional theory data (GGA-PBE) for crystalline Al2Cd2Te at its relaxed geometry.

Summary:
DOS(E_F): 2.2 states/eV/cell
E_form (uncorrected): 0.17 eV per atom
SG: I4/mmm

Unit cell a=4.337 b=4.337 c=7.071 alpha=72.14 beta=72.14 gamma=90.00
Atoms (fractional coordinates):
Te (0.000, 0.000, 0.000)
Al (0.402, 0.402, 0.197)
Al (0.598, 0.598, 0.803)
Cd (0.750, 0.250, 0.500)
Cd (0.250, 0.750, 0.500)



# 21
Density functional theory data (GGA-PBE) for crystalline AcAsPdPb at its relaxed geometry.

Summary:
formation enthalpy at 0 K: -548 meV per atom
DOS(E_F): 1.8 states/eV/cell
SG: F-43m

Unit cell a=5.266 b=5.266 c=5.266 alpha=60.00 beta=60.00 gamma=60.00
Atoms (fractional coordinates):
Pb (0.750, 0.750, 0.750)
Ac (0.250, 0.250, 0.250)
As (0.000, 0.000, 0.000)
Pd (0.500, 0.500, 0.500)



# 22
Density functional theory data (GGA-PBE) for crystalline YMnTeN2 at its relaxed geometry.

Summary:
DOS(E_F): 2.4 states/eV/cell
E_form (uncorrected): 0.27 eV per atom
SG: P4/mmm

Unit cell a=3.955 b=3.955 c=5.198 alpha=90.00 beta=90.00 gamma=90.00
Atoms (fractional coordinates):
Y (0.500, 0.500, 0.500)
Te (0.000, 0.000, 0.500)
Mn (0.000, 0.000, 0.000)
N (0.000, 0.500, 0.000)
N (0.500, 0.000, 0.000)